Run a
The following is a GGA-PBE calculation of crystalline AcGdSn at its relaxed geometry, from Alexandria via LeMat-Bulk.

Cell: 4.2155 4.2155 6.3238 Å, 109.47 109.47 90.00°
Last column: magnetic moment on the atom in μB.
Element x y z (fractional)
Ac1 0.9392 0.9392 0.8784  0.21
Gd1 0.6436 0.6436 0.2873  7.36
Sn1 0.2671 0.2671 0.5343  -0.03

The total moment comes out at 8.42 μB per cell.



Run b
The following is a GGA-PBE calculation of crystalline AcGdSn at its relaxed geometry, from Alexandria via LeMat-Bulk.

Cell: 3.9215 3.9215 7.9930 Å, 90.00 90.00 120.00°
Last column: magnetic moment on the atom in μB.
Element x y z (fractional)
Ac1 0.3333 0.6667 0.6438  0.09
Gd1 0.0000 0.0000 0.0365  7.30
Sn1 0.6667 0.3333 0.3196  0.00

The total moment comes out at 8.07 μB per cell.



Run c
The following is a GGA-PBE calculation of crystalline AcGdSn at its relaxed geometry, from Alexandria via LeMat-Bulk.

Cell: 5.4333 5.4333 5.4333 Å, 60.00 60.00 60.00°
Last column: magnetic moment on the atom in μB.
Element x y z (fractional)
Ac1 0.5000 0.5000 0.5000  0.14
Gd1 0.0000 0.0000 0.0000  7.27
Sn1 0.2500 0.2500 0.2500  -0.07

The total moment comes out at 8.04 μB per cell.



Most stable: run a



Run a
The following is a GGA-PBE calculation of crystalline Ac2GdSn at its relaxed geometry, from Alexandria via LeMat-Bulk.

Cell: 4.4365 4.4365 7.3318 Å, 90.00 90.00 90.00°
Last column: magnetic moment on the atom in μB.
Element x y z (fractional)
Ac1 0.0000 0.0000 0.7688  0.03
Ac2 0.0000 0.0000 0.2312  0.03
Gd1 0.5000 0.5000 0.5000  7.14
Sn1 0.5000 0.5000 0.0000  -0.02

The total moment comes out at 7.53 μB per cell.



Run b
The following is a GGA-PBE calculation of crystalline Ac2GdSn at its relaxed geometry, from Alexandria via LeMat-Bulk.

Cell: 5.8624 5.8624 5.8624 Å, 60.00 60.00 60.00°
Last column: magnetic moment on the atom in μB.
Element x y z (fractional)
Ac1 0.2500 0.2500 0.2500  0.06
Ac2 0.7500 0.7500 0.7500  0.06
Gd1 0.5000 0.5000 0.5000  7.28
Sn1 0.0000 0.0000 0.0000  -0.03

The total moment comes out at 7.77 μB per cell.



Run c
The following is a GGA-PBE calculation of crystalline Ac2GdSn at its relaxed geometry, from Alexandria via LeMat-Bulk.

Cell: 5.0778 5.2281 5.2281 Å, 90.00 90.00 90.00°
Last column: magnetic moment on the atom in μB.
Element x y z (fractional)
Ac1 0.0000 0.0000 0.5000  0.06
Ac2 0.0000 0.5000 0.0000  0.06
Gd1 0.5000 0.5000 0.5000  7.28
Sn1 0.5000 0.0000 0.0000  -0.03

The total moment comes out at 7.83 μB per cell.



Most stable: run c



Run a
The following is a GGA-PBE calculation of crystalline SrAc2Gd at its relaxed geometry, from Alexandria via LeMat-Bulk.

Cell: 5.4630 5.5983 5.5983 Å, 90.00 90.00 90.00°
Last column: magnetic moment on the atom in μB.
Element x y z (fractional)
Sr1 0.5000 0.0000 0.0000  0.01
Ac1 0.0000 0.0000 0.5000  0.02
Ac2 0.0000 0.5000 0.0000  0.02
Gd1 0.5000 0.5000 0.5000  7.20

The total moment comes out at 7.67 μB per cell.



Run b
The following is a GGA-PBE calculation of crystalline SrAc2Gd at its relaxed geometry, from Alexandria via LeMat-Bulk.

Cell: 3.9528 3.9528 11.0862 Å, 90.00 90.00 90.00°
Last column: magnetic moment on the atom in μB.
Element x y z (fractional)
Sr1 0.5000 0.5000 0.5000  -0.03
Ac1 0.0000 0.0000 0.7755  0.01
Ac2 0.0000 0.0000 0.2245  0.01
Gd1 0.5000 0.5000 0.0000  7.20

The total moment comes out at 7.44 μB per cell.



Most stable: run b



Run a
The following is a GGA-PBE calculation of crystalline SrAc2Gd at its relaxed geometry, from Alexandria via LeMat-Bulk.

Cell: 3.8737 3.8737 13.8678 Å, 81.97 81.97 60.00°
Last column: magnetic moment on the atom in μB.
Element x y z (fractional)
Sr1 0.0000 0.0000 0.0000  0.01
Ac1 0.0936 0.0936 0.7191  -0.04
Ac2 0.9064 0.9064 0.2809  -0.04
Gd1 0.5000 0.5000 0.5000  7.14

The total moment comes out at 7.18 μB per cell.



Run b
The following is a GGA-PBE calculation of crystalline SrAc2Gd at its relaxed geometry, from Alexandria via LeMat-Bulk.

Cell: 6.2507 6.2507 6.2507 Å, 60.00 60.00 60.00°
Last column: magnetic moment on the atom in μB.
Element x y z (fractional)
Sr1 0.5000 0.5000 0.5000  0.02
Ac1 0.2500 0.2500 0.2500  0.04
Ac2 0.7500 0.7500 0.7500  0.04
Gd1 0.0000 0.0000 0.0000  7.22

The total moment comes out at 7.90 μB per cell.



Most stable: run b



Run a
The following is a GGA-PBE calculation of crystalline AcTbGd2 at its relaxed geometry, from Alexandria via LeMat-Bulk.

Cell: 3.7094 3.7094 10.2686 Å, 90.00 90.00 90.00°
Last column: magnetic moment on the atom in μB.
Element x y z (fractional)
Ac1 0.5000 0.5000 0.5000  0.00
Gd1 0.0000 0.0000 0.7647  -7.16
Gd2 0.0000 0.0000 0.2353  -7.16
Tb1 0.5000 0.5000 0.0000  0.00

The total moment comes out at 14.84 μB per cell.



Run b
The following is a GGA-PBE calculation of crystalline AcTbGd2 at its relaxed geometry, from Alexandria via LeMat-Bulk.

Cell: 5.2087 5.1979 5.1979 Å, 90.00 90.00 90.00°
Last column: magnetic moment on the atom in μB.
Element x y z (fractional)
Ac1 0.5000 0.0000 0.0000  -0.01
Gd1 0.0000 0.0000 0.5000  7.17
Gd2 0.0000 0.5000 0.0000  7.17
Tb1 0.5000 0.5000 0.5000  0.02

The total moment comes out at 14.90 μB per cell.



Most stable: run b



Run a
The following is a GGA-PBE calculation of crystalline AcTbGd2 at its relaxed geometry, from Alexandria via LeMat-Bulk.

Cell: 3.6117 3.6117 12.8919 Å, 81.95 81.95 60.00°
Last column: magnetic moment on the atom in μB.
Element x y z (fractional)
Ac1 0.0000 0.0000 0.0000  -0.07
Gd1 0.0925 0.0925 0.7225  -7.22
Gd2 0.9075 0.9075 0.2775  -7.22
Tb1 0.5000 0.5000 0.5000  0.08

The total moment comes out at 15.03 μB per cell.



Run b
The following is a GGA-PBE calculation of crystalline AcTbGd2 at its relaxed geometry, from Alexandria via LeMat-Bulk.

Cell: 5.8533 5.8533 5.8533 Å, 60.00 60.00 60.00°
Last column: magnetic moment on the atom in μB.
Element x y z (fractional)
Ac1 0.5000 0.5000 0.5000  0.14
Gd1 0.2500 0.2500 0.2500  7.32
Gd2 0.7500 0.7500 0.7500  7.32
Tb1 0.0000 0.0000 0.0000  0.27

The total moment comes out at 16.20 μB per cell.



Most stable: run b